No. 1
Material: LaSe2BrN
Method: DFT, meta-GGA SCAN
State: PBEsol geometry

Cell and atoms, written as POSCAR:
```
LaSe2BrN
1.0
4.116 0.000 0.000
0.000 5.997 0.000
0.000 0.000 5.997
Se La N Br
2 1 1 1
Direct
0.000 0.500 0.000
0.000 0.000 0.500
0.000 0.000 0.000
0.500 0.000 0.000
0.500 0.500 0.500
```

Formation energy from raw total energies: 215 meV per atom
Calculated volume: 29.6 Å³/atom


No. 2
Material: NaLa3Br
Method: DFT, meta-GGA SCAN
State: PBEsol geometry

Cell and atoms, written as POSCAR:
```
NaLa3Br
1.0
-3.335 0.807 4.594
-0.193 -5.667 0.855
4.660 0.343 3.323
Na Br La
1 1 3
Direct
0.000 0.000 0.000
0.500 0.500 0.500
0.500 0.000 0.000
0.000 0.500 0.000
0.000 0.000 0.500
```

Formation energy from raw total energies: 477 meV per atom
Calculated volume: 37.7 Å³/atom